(1)
A relaxed structure of SiTc2Ge, computed with GGA-PBE.

Its crystal system is orthorhombic. As for the volume: 16.55 Å³/atom. The value obtained for the excess energy over the best structure of this formula in the dataset is 827 meV/atom. The density comes out at 7.4 g/cm³.

The structure belongs to space group Immm (No. 71); the cell edges are 2.782, 4.375 and 10.876 Å and the angles 90.00°, 90.00° and 90.00°. The distinct sites, in fractional coordinates, are Si at (0.000, 0.000, 0.000), Tc at (0.000, 0.000, 0.215) and Ge at (0.000, 0.000, 0.500).

***

(2)
A relaxed structure of SiTcGe, computed with GGA-PBE.

Its crystal system is orthorhombic. As for the volume: 14.87 Å³/atom. The value obtained for the excess energy over the best structure of this formula in the dataset is 0 meV/atom. The density comes out at 7.4 g/cm³.

The structure belongs to space group Pmmn (No. 59, origin choice 2); the cell edges are 3.234, 3.748 and 7.362 Å and the angles 90.00°, 90.00° and 90.00°. The distinct sites, in fractional coordinates, are Si at (0.250, 0.250, 0.019), Tc at (0.250, 0.750, 0.238) and Ge at (0.250, 0.750, 0.615).

***

(3)
A relaxed structure of Si2Tc2Ge, computed with GGA-PBE.

Its crystal system is tetragonal. As for the volume: 14.57 Å³/atom. The value obtained for the excess energy over the best structure of this formula in the dataset is 221 meV/atom. The density comes out at 7.4 g/cm³.

The structure belongs to space group P4/mbm (No. 127); the cell edges are 6.974, 6.974 and 2.995 Å and the angles 90.00°, 90.00° and 90.00°. The distinct sites, in fractional coordinates, are Si at (0.131, 0.369, 0.000), Tc at (0.161, 0.661, 0.500) and Ge at (0.000, 0.000, 0.000).

***

(4)
A relaxed structure of SiTc2Ge, computed with GGA-PBE.

Its crystal system is cubic. As for the volume: 13.76 Å³/atom. The value obtained for the excess energy over the best structure of this formula in the dataset is 13 meV/atom. The density comes out at 9.0 g/cm³.

The structure belongs to space group Fm-3m (No. 225); the cell edges are 6.039, 6.039 and 6.039 Å and the angles 90.00°, 90.00° and 90.00°. The distinct sites, in fractional coordinates, are Si at (0.000, 0.000, 0.000), Tc at (0.250, 0.250, 0.250) and Ge at (0.000, 0.000, 0.500).

***

(5)
A relaxed structure of SiTc2Ge, computed with GGA-PBE.

Its crystal system is tetragonal. As for the volume: 13.79 Å³/atom. The value obtained for the excess energy over the best structure of this formula in the dataset is 0 meV/atom. The density comes out at 8.9 g/cm³.

The structure belongs to space group P4/mmm (No. 123); the cell edges are 3.013, 3.013 and 6.076 Å and the angles 90.00°, 90.00° and 90.00°. The distinct sites, in fractional coordinates, are Si at (0.000, 0.000, 0.000), Tc at (0.500, 0.500, 0.239) and Ge at (0.000, 0.000, 0.500).

***

(6)
A relaxed structure of SiTcGe, computed with GGA-PBE.

Its crystal system is hexagonal. As for the volume: 15.55 Å³/atom. The value obtained for the excess energy over the best structure of this formula in the dataset is 469 meV/atom. The density comes out at 7.1 g/cm³.

The structure belongs to space group P-6m2 (No. 187); the cell edges are 4.1394, 4.1394 and 3.1441 Å and the angles 90.00°, 90.00° and 120.00°. The distinct sites, in fractional coordinates, are Si at (0.0000, 0.0000, 0.0000), Tc at (0.6667, 0.3333, 0.0000) and Ge at (0.3333, 0.6667, 0.5000).

***

(7)
A relaxed structure of SiTcGe3, computed with GGA-PBE.

Its crystal system is cubic. As for the volume: 22.36 Å³/atom. The value obtained for the excess energy over the best structure of this formula in the dataset is 0 meV/atom. The density comes out at 5.1 g/cm³.

The structure belongs to space group Pm-3m (No. 221); the cell edges are 4.817, 4.817 and 4.817 Å and the angles 90.00°, 90.00° and 90.00°. The distinct sites, in fractional coordinates, are Si at (0.000, 0.000, 0.000), Tc at (0.500, 0.500, 0.500) and Ge at (0.000, 0.500, 0.500).

***

(8)
A relaxed structure of Si2Tc2Ge, computed with GGA-PBE.

Its crystal system is tetragonal. As for the volume: 16.15 Å³/atom. The value obtained for the excess energy over the best structure of this formula in the dataset is 383 meV/atom. The density comes out at 6.7 g/cm³.

The structure belongs to space group I4/mmm (No. 139); the cell edges are 4.429, 4.429 and 8.234 Å and the angles 90.00°, 90.00° and 90.00°. The distinct sites, in fractional coordinates, are Si at (0.000, 0.000, 0.136), Tc at (0.000, 0.500, 0.250) and Ge at (0.000, 0.000, 0.500).

***

(9)
A relaxed structure of Si2Tc2Ge, computed with GGA-PBE.

Its crystal system is tetragonal. As for the volume: 14.60 Å³/atom. The value obtained for the excess energy over the best structure of this formula in the dataset is 95 meV/atom. The density comes out at 7.4 g/cm³.

The structure belongs to space group P4/mbm (No. 127); the cell edges are 6.858, 6.858 and 3.104 Å and the angles 90.00°, 90.00° and 90.00°. The distinct sites, in fractional coordinates, are Si at (0.136, 0.364, 0.000), Tc at (0.158, 0.658, 0.500) and Ge at (0.000, 0.000, 0.500).

***

(10)
A relaxed structure of SiTcGe3, computed with GGA-PBE.

Its crystal system is cubic. As for the volume: 21.04 Å³/atom. The value obtained for the excess energy over the best structure of this formula in the dataset is 517 meV/atom. The density comes out at 5.4 g/cm³.

The structure belongs to space group Pm-3m (No. 221); the cell edges are 4.720, 4.720 and 4.720 Å and the angles 90.00°, 90.00° and 90.00°. The distinct sites, in fractional coordinates, are Si at (0.000, 0.000, 0.000), Tc at (0.500, 0.500, 0.500) and Ge at (0.000, 0.000, 0.500).

***

(11)
A relaxed structure of Ti2SiTcGe, computed with GGA-PBE.

Its crystal system is tetragonal. As for the volume: 20.63 Å³/atom. The density comes out at 4.7 g/cm³. The value obtained for the total energy is -0.491 Ry per atom.

The structure belongs to space group P4/mmm (No. 123); the cell edges are 4.694, 4.694 and 4.681 Å and the angles 90.00°, 90.00° and 90.00°. The distinct sites, in fractional coordinates, are Ti at (0.000, 0.500, 0.000), Si at (0.000, 0.000, 0.500), Tc at (0.500, 0.500, 0.000) and Ge at (0.500, 0.500, 0.500).

***

(12)
A relaxed structure of YSiTc2Ge, computed with GGA-PBE.

Its crystal system is tetragonal. As for the volume: 19.68 Å³/atom. The density comes out at 6.5 g/cm³. The value obtained for the total energy is -0.519 Ry per atom.

The structure belongs to space group P4/mmm (No. 123); the cell edges are 4.533, 4.533 and 4.789 Å and the angles 90.00°, 90.00° and 90.00°. The distinct sites, in fractional coordinates, are Y at (0.000, 0.000, 0.000), Si at (0.500, 0.500, 0.500), Tc at (0.000, 0.500, 0.500) and Ge at (0.500, 0.500, 0.000).